# Li2InCl5, optimized geometry, DFT PBE
data_Li2InCl5
_cell_length_a 5.2236
_cell_length_b 12.7023
_cell_length_c 12.3348
_cell_angle_alpha 90.00
_cell_angle_beta 90.00
_cell_angle_gamma 90.00
_space_group_name_H-M_alt 'C m c m'
_space_group_IT_number 63
_space_group_name_Hall '-C 2c 2'
loop_
_atom_site_label
_atom_site_type_symbol
_atom_site_fract_x
_atom_site_fract_y
_atom_site_fract_z
Li1 Li 0.0000 0.1220 0.0828
In1 In 0.0000 0.2153 0.7500
Cl1 Cl 0.0000 0.0730 0.6099
Cl2 Cl 0.0000 0.2463 0.2500
Cl3 Cl 0.0000 0.3470 0.5984
# Raw total energy   -3.385 eV/atom
# Total moment   0.00 μB/atom
# Theoretical density   2483 kg/m3
# Fermi-level density of states   0.0 states/eV/cell
# Uncorrected formation energy   -1.410 eV per atom